This record from Alexandria via LeMat-Bulk describes crystalline NaCuH3 at its relaxed geometry. The functional is PBE.

Properties
calculated total energy = -2.985 eV per atom
magnetization = 0.000 μB per atom

Lattice parameters (Å, degrees): 5.1490 6.7817 5.8746 90.00 90.00 90.00
Last column: nearest neighbours and their distance in Å.
Space group Pnma (No. 62)
Inequivalent atoms, fractional coordinates:
Na1 0.0000 0.0000 0.0000 [4 per cell]  4 H 2.32-2.43
Cu1 0.0012 0.2500 0.4313 [4 per cell]  4 H 1.56-1.69
H1 0.0278 0.5900 0.3805 [8 per cell]  1 Cu 1.56
H2 0.2241 0.7500 0.7773 [4 per cell]  2 Cu 1.68-1.69

=====

This record from Alexandria via LeMat-Bulk describes crystalline Ba5Tl2Ag at its relaxed geometry. The functional is PBE.

Properties
calculated total energy = -2.413 eV per atom
magnetization = 0.000 μB per atom

Lattice parameters (Å, degrees): 7.8671 14.5507 5.9841 90.00 90.00 90.00
Last column: nearest neighbours and their distance in Å.
Space group Pbam (No. 55)
Inequivalent atoms, fractional coordinates:
Ba1 0.0000 0.0000 0.0000 [2 per cell]  4 Tl 3.72, 2 Ag 3.93, 2 Ba 4.15
Ba2 0.1470 0.2877 0.0000 [4 per cell]  1 Ag 3.30, 2 Tl 3.69
Ba3 0.1641 0.6047 0.5000 [4 per cell]  3 Tl 3.59-3.93, 2 Ag 3.60, 1 Ba 3.99
Tl1 0.1164 0.8619 0.5000 [4 per cell]  7 Ba 3.59-3.93
Ag1 0.0000 0.5000 0.0000 [2 per cell]  6 Ba 3.30-3.60

=====

This record from Alexandria via LeMat-Bulk describes crystalline SrP2NO at its relaxed geometry. The functional is PBE.

Properties
calculated total energy = -3.287 eV per atom
magnetization = 0.471 μB per atom
raw formation energy = 1.870 eV/atom

Lattice parameters (Å, degrees): 6.2158 6.2158 4.4111 90.00 90.00 90.00
Last column: nearest neighbours and their distance in Å.
Space group P4/mmm (No. 123)
Inequivalent atoms, fractional coordinates:
Sr1 0.0000 0.0000 0.0000 [1 per cell]  2 O 2.21
P1 0.0000 0.5000 0.0000 [2 per cell]  2 Sr 3.11
N1 0.5000 0.5000 0.5000 [1 per cell]  8 P 3.81
O1 0.0000 0.0000 0.5000 [1 per cell]  2 Sr 2.21

=====

This record from Alexandria via LeMat-Bulk describes crystalline NiS at its relaxed geometry. The functional is PBE.

Properties
calculated total energy = -5.285 eV per atom
magnetization = 0.000 μB per atom
raw formation energy = -0.331 eV/atom

Lattice parameters (Å, degrees): 9.4814 9.4814 3.5681 90.00 90.00 90.00
Last column: nearest neighbours and their distance in Å.
Space group P4/m (No. 83)
Inequivalent atoms, fractional coordinates:
Ni1 0.0574 0.6233 0.0000 [4 per cell]  4 S 2.18-2.22
Ni2 0.1187 0.2941 0.5000 [4 per cell]  4 S 2.15-2.24
S1 0.1144 0.7430 0.5000 [4 per cell]  4 Ni 2.15-2.24
S2 0.1721 0.4206 0.0000 [4 per cell]  4 Ni 2.21-2.22

=====

This record from Alexandria via LeMat-Bulk describes crystalline ScIn2Hg at its relaxed geometry. The functional is PBE.

Properties
calculated total energy = -3.127 eV per atom
magnetization = 0.000 μB per atom

Lattice parameters (Å, degrees): 3.3986 3.3986 29.5799 90.00 90.00 120.00
Last column: nearest neighbours and their distance in Å.
Space group R-3m (No. 166, hexagonal axes)
Inequivalent atoms, fractional coordinates:
Sc1 0.0000 0.0000 0.0000 [3 per cell]  6 In 3.12, 6 Sc 3.40
In1 0.0000 0.0000 0.2514 [6 per cell]  3 Sc 3.12, 3 Hg 3.18, 6 In 3.40
Hg1 0.0000 0.0000 0.5000 [3 per cell]  6 In 3.18, 6 Hg 3.40

=====

This record from Alexandria via LeMat-Bulk describes crystalline Rb2ThBr4F2 at its relaxed geometry. The functional is PBE.

Properties
calculated total energy = -4.595 eV per atom
magnetization = 0.000 μB per atom
raw formation energy = -2.397 eV/atom

Lattice parameters (Å, degrees): 12.4541 8.2861 6.0233 90.00 101.95 90.00
Last column: nearest neighbours and their distance in Å.
Space group C2/m (No. 12)
Inequivalent atoms, fractional coordinates:
Rb1 0.1734 0.0000 0.3300 [4 per cell]  1 F 2.95
Th1 0.0000 0.5000 0.0000 [2 per cell]  2 F 2.16
Br1 0.1051 0.2433 0.7946 [8 per cell]  1 Th 2.90
F1 0.1383 0.5000 0.2827 [4 per cell]  1 Th 2.16

=====

This record from Alexandria via LeMat-Bulk describes crystalline TbLu2S at its relaxed geometry. The functional is PBE.

Properties
calculated total energy = -5.129 eV per atom
magnetization = 0.093 μB per atom
raw formation energy = -0.679 eV/atom

Lattice parameters (Å, degrees): 3.5577 3.5577 29.9029 90.00 90.00 120.00
Last column: nearest neighbours and their distance in Å.
Space group R-3m (No. 166, hexagonal axes)
Inequivalent atoms, fractional coordinates:
Tb1 0.0000 0.0000 0.0000 [3 per cell]  2 Lu 3.34, 6 Tb 3.56
Lu1 0.0000 0.0000 0.1118 [6 per cell]  3 S 2.63
S1 0.0000 0.0000 0.5000 [3 per cell]  6 Lu 2.63

=====

This record from Alexandria via LeMat-Bulk describes crystalline Pm3Ge2Rh at its relaxed geometry. The functional is PBE.

Properties
calculated total energy = -5.842 eV per atom
magnetization = 0.000 μB per atom

Lattice parameters (Å, degrees): 7.8752 7.8752 17.8362 90.00 90.00 120.00
Last column: nearest neighbours and their distance in Å.
Space group R-3c (No. 167, hexagonal axes)
Inequivalent atoms, fractional coordinates:
Pm1 0.0000 0.3203 0.2500 [18 per cell]  4 Ge 2.95-3.07, 2 Rh 3.06
Ge1 0.0000 0.0000 0.1521 [12 per cell]  1 Rh 2.71, 3 Pm 2.95
Rh1 0.0000 0.0000 0.0000 [6 per cell]  2 Ge 2.71

=====

This record from Alexandria via LeMat-Bulk describes crystalline Sr2NiHgH at its relaxed geometry. The functional is PBE.

Properties
calculated total energy = -2.814 eV per atom
magnetization = 0.000 μB per atom

Lattice parameters (Å, degrees): 5.4812 5.4812 3.7096 90.00 90.00 90.00
Last column: nearest neighbours and their distance in Å.
Space group P4/mmm (No. 123)
Inequivalent atoms, fractional coordinates:
Sr1 0.0000 0.5000 0.0000 [2 per cell]  2 H 2.74
Ni1 0.0000 0.0000 0.5000 [1 per cell]  2 H 1.85
Hg1 0.5000 0.5000 0.5000 [1 per cell]  8 Sr 3.31
H1 0.0000 0.0000 0.0000 [1 per cell]  2 Ni 1.85

=====

This record from Alexandria via LeMat-Bulk describes crystalline Ni2AgPN at its relaxed geometry. The functional is PBE.

Properties
calculated total energy = -3.871 eV per atom
magnetization = 0.000 μB per atom
raw formation energy = 1.759 eV/atom

Lattice parameters (Å, degrees): 4.7132 4.7132 3.6971 90.00 90.00 90.00
Last column: nearest neighbours and their distance in Å.
Space group P4/mmm (No. 123)
Inequivalent atoms, fractional coordinates:
Ni1 0.0000 0.5000 0.0000 [2 per cell]  2 Ag 2.36
Ag1 0.0000 0.0000 0.0000 [1 per cell]  2 N 1.85
P1 0.5000 0.5000 0.5000 [1 per cell]  8 Ni 3.00, 4 N 3.33
N1 0.0000 0.0000 0.5000 [1 per cell]  2 Ag 1.85

=====

This record from Alexandria via LeMat-Bulk describes crystalline ErPuO4 at its relaxed geometry. The functional is PBE.

Properties
calculated total energy = -9.630 eV per atom
magnetization = 0.500 μB per atom
raw formation energy = -3.175 eV/atom

Lattice parameters (Å, degrees): 5.3136 5.3136 10.6191 90.00 90.00 90.00
Last column: nearest neighbours and their distance in Å.
Space group I4_1/amd (No. 141, origin choice 2)
Inequivalent atoms, fractional coordinates:
Er1 0.0000 0.2500 0.3750 [4 per cell]  8 O 2.33
Pu1 0.0000 0.2500 0.8750 [4 per cell]  8 O 2.27
O1 0.2401 0.0000 0.0000 [16 per cell]  2 Pu 2.27, 2 Er 2.33

=====

This record from Alexandria via LeMat-Bulk describes crystalline GaAuO at its relaxed geometry. The functional is PBE.

Properties
calculated total energy = -4.425 eV per atom
magnetization = 0.000 μB per atom
raw formation energy = -0.671 eV/atom

Lattice parameters (Å, degrees): 10.6970 3.5237 5.3285 90.00 93.58 90.00
Last column: nearest neighbours and their distance in Å.
Space group C2/m (No. 12)
Inequivalent atoms, fractional coordinates:
Ga1 0.0843 0.0000 0.2062 [4 per cell]  2 O 1.88-1.95
Au1 0.1405 0.5000 0.5276 [4 per cell]  2 Ga 2.50, 2 O 2.55
O1 0.0973 0.0000 0.8567 [4 per cell]  2 Ga 1.88-1.95

=====

| no. | N(E_F) (states/eV/atom) |
| --- | --- |
| 1 | 0.0091 |
| 2 | 1.0654 |
| 3 | 1.5636 |
| 4 | 1.1167 |
| 5 | 1.0117 |
| 6 | 0.0000 |
| 7 | 1.3175 |
| 8 | 0.3374 |
| 9 | 0.5391 |
| 10 | 1.3113 |
| 11 | 0.9798 |
| 12 | 0.1598 |